(1)
Entry from Alexandria via LeMat-Bulk: a relaxed K2Nd2GeO6 crystal (GGA-PBE).

```
11
Lattice="2.9874 -5.1001 0.0000 2.9874 5.1001 0.0000 -1.6161 0.0000 6.4138" Properties=species:S:1:pos:R:3 pbc="T T T"
K 2.9874 3.5193 0.0000
K 2.9874 -3.5193 0.0000
Nd 2.1793 1.6843 3.2069
Nd 2.1793 -1.6843 3.2069
Ge -0.8081 0.0000 3.2069
O 0.0440 1.4916 4.2859
O 0.8101 0.0000 2.1183
O 0.0440 -1.4916 4.2859
O 4.3146 1.4916 2.1279
O 3.5485 0.0000 4.2956
O 4.3146 -1.4916 2.1279
```

Properties
- uncorrected formation energy (eV/atom) = -2.2725
- ρ (g cm⁻³) = 4.55
- space-group type = C2/m
- magnetic moment (μB/cell) = 0.000


(2)
Entry from Alexandria via LeMat-Bulk: a relaxed KNdGeO4 crystal (GGA-PBE).

```
14
Lattice="5.9434 0.0000 0.0000 0.0000 5.9063 0.0000 -1.9306 0.0000 7.2331" Properties=species:S:1:pos:R:3 pbc="T T T"
K 0.2443 1.4766 3.0130
K 3.7685 4.4298 4.2201
Nd -0.1206 1.4766 6.8774
Nd 4.1334 4.4298 0.3557
Ge 1.1194 4.4298 1.2221
Ge 2.8934 1.4766 6.0110
O -0.3076 4.4298 2.2570
O -1.4622 4.4298 6.7948
O 2.2777 3.0656 1.3482
O 2.2777 5.7939 1.3482
O 1.7351 0.1124 5.8849
O 1.7351 2.8408 5.8849
O 5.4749 1.4766 0.4383
O 4.3203 1.4766 4.9761
```

Properties
- uncorrected formation energy (eV/atom) = -2.3322
- ρ (g cm⁻³) = 4.19
- space-group type = P2_1/m
- magnetic moment (μB/cell) = 0.000


(3)
Entry from Alexandria via LeMat-Bulk: a relaxed K3Nd3GeO8 crystal (GGA-PBE).

```
15
Lattice="3.4957 2.0182 6.3203 -3.4957 2.0182 6.3203 0.0000 -4.0365 6.3203" Properties=species:S:1:pos:R:3 pbc="T T T"
K -1.7478 -1.0091 6.3203
K -1.7478 1.0091 12.6407
K 0.0000 2.0182 6.3203
Nd -3.4957 0.0000 9.4805
Nd -1.7478 1.0091 3.1602
Nd 1.7478 1.0091 3.1602
Ge 0.0000 0.0000 9.4805
O 0.0000 0.0000 4.3601
O -1.4903 -0.8604 10.5609
O 0.0000 -1.7208 8.4001
O -1.4903 0.8604 8.4001
O 1.4903 -0.8604 10.5609
O 0.0000 1.7208 10.5609
O 1.4903 0.8604 8.4002
O 0.0000 0.0000 14.6009
```

Properties
- uncorrected formation energy (eV/atom) = -2.3532
- ρ (g cm⁻³) = 4.66
- space-group type = R-3m
- magnetic moment (μB/cell) = 0.000


(4)
Entry from Alexandria via LeMat-Bulk: a relaxed KNdGeO3 crystal (GGA-PBE).

```
12
Lattice="6.7089 0.0000 0.0000 0.0000 3.4909 0.0000 -2.0285 0.0000 10.2971" Properties=species:S:1:pos:R:3 pbc="T T T"
K 1.0020 0.8727 2.8046
K 3.6784 2.6182 7.4925
Nd 0.5207 2.6182 8.9536
Nd 4.1597 0.8727 1.3434
Ge 0.1114 0.8727 6.1562
Ge 4.5689 2.6182 4.1409
O -0.7879 0.8727 7.8484
O 1.1115 2.6182 6.6094
O 2.6285 2.6182 1.0137
O 2.0518 0.8727 9.2833
O 3.5689 0.8727 3.6877
O 5.4683 2.6182 2.4487
```

Properties
- uncorrected formation energy (eV/atom) = -2.1069
- ρ (g cm⁻³) = 4.19
- space-group type = P2_1/m
- magnetic moment (μB/cell) = 0.000